[1]
VASP calculation (SCAN) on a crystal of CrP2RuN relaxed with PBEsol.

The space group is P4/mmm (No. 123) and the conventional cell measures 4.478, 4.478 and 3.417 Å, with angles of 90.00, 90.00 and 90.00 degrees. The distinct sites, in fractional coordinates, are Cr at (0.000, 0.000, 0.000), P at (0.000, 0.500, 0.000), Ru at (0.500, 0.500, 0.500) and N at (0.000, 0.000, 0.500).

[2]
VASP calculation (SCAN) on a crystal of CrPS2N relaxed with PBEsol.

The space group is P4/mmm (No. 123) and the conventional cell measures 4.261, 4.261 and 4.570 Å, with angles of 90.00, 90.00 and 90.00 degrees. The distinct sites, in fractional coordinates, are Cr at (0.000, 0.000, 0.000), P at (0.000, 0.000, 0.500), S at (0.000, 0.500, 0.000) and N at (0.500, 0.500, 0.500).

[3]
VASP calculation (SCAN) on a crystal of CrPS2N relaxed with PBEsol.

The space group is P4/mmm (No. 123) and the conventional cell measures 3.972, 3.972 and 4.099 Å, with angles of 90.00, 90.00 and 90.00 degrees. The distinct sites, in fractional coordinates, are Cr at (0.000, 0.000, 0.000), P at (0.500, 0.500, 0.000), S at (0.000, 0.500, 0.500) and N at (0.500, 0.500, 0.500).

[4]
VASP calculation (SCAN) on a crystal of CrP2SN relaxed with PBEsol.

The space group is P4/mmm (No. 123) and the conventional cell measures 4.012, 4.012 and 3.916 Å, with angles of 90.00, 90.00 and 90.00 degrees. The distinct sites, in fractional coordinates, are Cr at (0.000, 0.000, 0.000), P at (0.000, 0.500, 0.500), S at (0.500, 0.500, 0.000) and N at (0.500, 0.500, 0.500).

[5]
VASP calculation (SCAN) on a crystal of CrPbN3 relaxed with PBEsol.

The space group is Pm-3m (No. 221) and the conventional cell measures 4.228, 4.228 and 4.228 Å, with angles of 90.00, 90.00 and 90.00 degrees. The distinct sites, in fractional coordinates, are Cr at (0.000, 0.000, 0.000), Pb at (0.500, 0.500, 0.500) and N at (0.000, 0.500, 0.500).

[6]
VASP calculation (SCAN) on a crystal of Cr2PbN relaxed with PBEsol.

The space group is Fm-3m (No. 225) and the conventional cell measures 6.218, 6.218 and 6.218 Å, with angles of 90.00, 90.00 and 90.00 degrees. The distinct sites, in fractional coordinates, are Cr at (0.250, 0.250, 0.250), Pb at (0.000, 0.000, 0.000) and N at (0.000, 0.000, 0.500).

Energy relative to the elements, uncorrected in eV per atom, matching the order above: 0.76 1.22 0.90 0.84 2.06 1.13